(1)
# KIn2Hg

A geometry-optimized KIn2Hg structure (PBE-GGA, Alexandria via LeMat-Bulk).

Output
Symmetry = Cm
Total magnetic moment = 0.00 Bohr magnetons per cell
Formation enthalpy at 0 K = -0.3 eV/f.u.
Total energy = -1.80 eV per atom

a b c (Å): 5.057 5.057 8.065
angles (deg): 83.53 83.53 39.90
Fractional coordinates of all 4 atoms:
1 In 0.745 0.745 0.806
2 In 0.000 0.000 0.000
3 Hg 0.253 0.253 0.206
4 K 0.502 0.502 0.487

=====

(2)
# K2In5Hg4

A geometry-optimized K2In5Hg4 structure (PBE-GGA, Alexandria via LeMat-Bulk).

Output
Symmetry = C2/m
Total magnetic moment = 0.00 Bohr magnetons per cell
Formation enthalpy at 0 K = -1.1 eV/f.u.
Total energy = -1.66 eV per atom

a b c (Å): 6.339 7.946 7.945
angles (deg): 73.30 64.47 64.47
Fractional coordinates of all 11 atoms:
1 In 0.235 0.843 0.182
2 In 0.765 0.818 0.157
3 In 0.235 0.182 0.843
4 In 0.000 0.500 0.500
5 In 0.765 0.157 0.818
6 Hg 0.729 0.911 0.585
7 Hg 0.729 0.585 0.911
8 Hg 0.271 0.089 0.415
9 Hg 0.271 0.415 0.089
10 K 0.704 0.313 0.313
11 K 0.296 0.687 0.687

=====

(3)
# KIn2Hg

A geometry-optimized KIn2Hg structure (PBE-GGA, Alexandria via LeMat-Bulk).

Output
Symmetry = Amm2
Total magnetic moment = 0.00 Bohr magnetons per cell
Formation enthalpy at 0 K = -0.6 eV/f.u.
Total energy = -1.86 eV per atom

a b c (Å): 5.081 6.636 7.792
angles (deg): 90.00 90.00 112.51
Fractional coordinates of all 8 atoms:
1 K 0.744 0.488 0.500
2 K 0.594 0.188 0.000
3 In 0.881 0.763 0.000
4 In 0.041 0.081 0.304
5 In 0.452 0.905 0.500
6 In 0.041 0.081 0.696
7 Hg 0.288 0.576 0.799
8 Hg 0.288 0.576 0.201